Record 1
SrYCuPt (PBE, optimized geometry); size of the total moment = 0.00 Bohr magnetons per cell; crystal system = cubic; formation energy from the elements = -0.488 eV/atom
1.0
5.077 0.000 0.000
2.539 4.397 0.000
2.539 1.466 4.145
Pt Y Cu Sr
1 1 1 1
Cartesian
2.539 1.466 1.036
0.000 0.000 0.000
7.616 4.397 3.109
5.077 2.931 2.073

---

Record 2
Sr2Zn6CuPt (PBE, optimized geometry); size of the total moment = 0.00 Bohr magnetons per cell; crystal system = monoclinic; formation energy from the elements = -0.238 eV/atom
1.0
-1.414 -2.610 6.135
2.574 -5.998 -1.966
4.916 -2.948 3.651
Zn Sr Cu Pt
6 2 1 1
Cartesian
0.878 -6.508 3.152
2.802 -3.607 2.886
5.197 -5.049 4.668
4.475 -6.384 7.810
1.601 -5.173 0.010
3.274 -7.950 4.934
4.035 -6.625 1.885
2.040 -4.932 5.935
0.000 0.000 0.000
0.580 -4.304 2.084

---

Record 3
SrZn4CuPt2 (PBE, optimized geometry); size of the total moment = 0.00 Bohr magnetons per cell; crystal system = trigonal; formation energy from the elements = -0.407 eV/atom
1.0
4.341 0.000 0.000
2.171 3.759 0.000
2.171 1.253 8.846
Cu Zn Sr Pt
1 4 1 2
Cartesian
4.341 2.506 4.423
4.341 2.506 6.854
6.512 3.759 3.543
2.171 1.253 5.302
4.341 2.506 1.992
0.000 0.000 0.000
6.512 3.759 6.237
2.171 1.253 2.609

---

Record 4
SrZn3CuPt (PBE, optimized geometry); size of the total moment = 0.00 Bohr magnetons per cell; crystal system = orthorhombic; formation energy from the elements = -0.270 eV/atom
1.0
-4.006 -4.183 -0.785
1.599 -2.620 5.801
-5.110 4.910 -0.087
Pt Cu Zn Sr
2 2 6 2
Cartesian
-5.335 -1.832 4.355
-2.182 -0.060 0.574
-7.077 0.265 2.070
-0.439 -2.157 2.859
-0.727 -4.182 4.238
0.323 -0.529 1.171
-3.609 -3.274 3.229
-3.908 1.382 1.701
1.276 -2.091 4.630
-1.680 -2.620 0.779
-2.516 -0.422 4.215
-5.000 -1.470 0.714

---

Record 5
Sr2Zn3Cu12Pt (PBE, optimized geometry); size of the total moment = 0.00 Bohr magnetons per cell; crystal system = trigonal; formation energy from the elements = 0.075 eV/atom
1.0
-2.739 -7.665 5.646
3.482 -7.437 5.541
0.288 -3.575 9.234
Pt Cu Zn Sr
1 12 3 2
Cartesian
0.000 0.000 0.000
-0.758 -7.968 9.722
1.668 -7.879 9.681
-0.638 -10.798 10.740
-1.569 -5.660 4.563
2.599 -13.017 15.859
1.788 -10.710 10.699
-1.102 -13.152 15.922
0.232 -3.228 6.697
2.132 -5.525 4.500
0.798 -15.450 13.725
0.543 -9.203 12.140
0.487 -9.474 8.282
-1.370 -3.833 2.823
1.741 -3.719 2.770
0.144 -1.787 4.617
0.359 -6.512 7.120
0.671 -12.166 13.302

---

Record 6
SrZn4Cu2Pt (PBE, optimized geometry); size of the total moment = 0.00 Bohr magnetons per cell; crystal system = trigonal; formation energy from the elements = -0.217 eV/atom
1.0
4.233 0.000 0.000
2.117 3.666 0.000
2.117 1.222 9.424
Sr Cu Zn Pt
1 2 4 1
Cartesian
0.000 0.000 0.000
2.117 1.222 2.894
6.350 3.666 6.529
4.233 2.444 7.280
6.350 3.666 3.731
2.117 1.222 5.692
4.233 2.444 2.143
4.233 2.444 4.712

---

Record 7
Sr2Zn3CuPt4 (PBE, optimized geometry); size of the total moment = 0.00 Bohr magnetons per cell; crystal system = tetragonal; formation energy from the elements = -0.621 eV/atom
1.0
-0.879 -3.903 1.361
-0.200 -1.349 -4.000
10.761 -2.338 0.249
Sr Zn Pt Cu
2 3 4 1
Cartesian
2.278 -2.542 0.743
7.944 -2.422 -1.814
1.342 -0.988 -1.967
5.381 -1.169 0.125
8.879 -3.976 0.896
3.810 -1.524 -1.909
6.412 -3.440 0.839
0.000 0.000 0.000
-0.540 -2.626 -1.320
4.841 -3.795 -1.195

---

Record 8
Ta2CuPt (PBE, optimized geometry); size of the total moment = 0.00 Bohr magnetons per cell; crystal system = tetragonal; formation energy from the elements = -0.121 eV/atom
1.0
-3.358 -3.207 2.060
1.284 -4.902 -0.348
2.350 4.227 1.553
Pt Cu Ta
1 1 2
Cartesian
-1.023 -1.517 2.234
-1.037 -4.054 0.856
0.000 0.000 0.000
1.298 -2.365 1.031

---

Record 9
Ta2CuPt (PBE, optimized geometry); size of the total moment = 0.00 Bohr magnetons per cell; crystal system = orthorhombic; formation energy from the elements = -0.251 eV/atom
1.0
4.933 -0.004 -0.036
1.756 4.610 0.036
-3.329 -2.326 2.801
Ta Pt Cu
2 1 1
Cartesian
6.689 4.606 0.000
3.345 2.303 0.000
0.886 2.293 1.418
2.474 -0.013 1.382

---

Record 10
Ta2CuPt (PBE, optimized geometry); size of the total moment = 0.00 Bohr magnetons per cell; crystal system = tetragonal; formation energy from the elements = -0.272 eV/atom
1.0
-1.454 3.619 0.707
-0.824 -1.059 3.724
3.673 1.248 1.167
Ta Cu Pt
2 1 1
Cartesian
0.000 0.000 0.000
-1.139 1.280 2.216
1.109 2.433 0.937
1.425 0.095 2.446

---

Record 11
TaCuPt2 (PBE, optimized geometry); size of the total moment = 0.00 Bohr magnetons per cell; crystal system = monoclinic; formation energy from the elements = -0.421 eV/atom
1.0
4.848 -0.002 -0.003
4.033 2.690 -0.003
0.753 0.228 4.734
Cu Pt Ta
1 2 1
Cartesian
2.420 0.732 1.108
7.200 2.179 3.439
0.028 0.009 0.114
4.804 1.454 2.432

---

Record 12
TaCuPt2 (PBE, optimized geometry); size of the total moment = 0.00 Bohr magnetons per cell; crystal system = trigonal; formation energy from the elements = -0.301 eV/atom
1.0
-4.394 0.014 -7.892
-5.406 -2.412 -6.822
-6.625 0.058 -6.139
Cu Pt Ta
1 2 1
Cartesian
-12.319 -1.755 -15.640
-8.176 -1.165 -10.380
-0.036 -0.005 -0.046
-4.106 -0.585 -5.213

---

Record 13
TaCuPt3 (PBE, optimized geometry); size of the total moment = 0.00 Bohr magnetons per cell; polymorph energy (0 for the lowest one) = 1587 meV per atom; crystal system = cubic; formation energy from the elements = 1.060 eV/atom
1.0
4.871 0.000 0.000
0.000 4.871 0.000
0.000 0.000 4.871
Pt Cu Ta
3 1 1
Cartesian
0.000 0.000 2.435
2.435 0.000 0.000
0.000 2.435 0.000
2.435 2.435 2.435
0.000 0.000 0.000

---

Record 14
Ta2CuPt2 (PBE, optimized geometry); size of the total moment = 0.00 Bohr magnetons per cell; polymorph energy (0 for the lowest one) = 225 meV per atom; crystal system = tetragonal; formation energy from the elements = -0.156 eV/atom
1.0
-6.632 3.666 -2.283
-3.305 -7.001 -1.639
-0.985 -0.149 2.623
Ta Pt Cu
4 4 2
Cartesian
-7.735 -1.598 -2.996
-4.979 -4.617 -2.132
-2.202 -1.738 -0.926
-4.958 1.282 -1.789
-7.545 -3.859 -1.553
-3.434 -4.008 -0.017
-3.377 0.375 0.253
-7.488 0.523 -1.282
-4.969 -1.668 -1.961
0.000 0.000 0.000

---

Record 15
Ta2CuPt (PBE, optimized geometry); size of the total moment = 0.00 Bohr magnetons per cell; crystal system = monoclinic; formation energy from the elements = -0.202 eV/atom
1.0
-4.477 1.309 1.166
-3.682 -0.763 2.995
0.944 3.451 3.499
Ta Pt Cu
2 1 1
Cartesian
-7.220 3.943 7.602
-1.797 1.079 2.002
-5.405 3.007 5.753
-3.617 1.961 3.792

---

Record 16
TaCuPt2 (PBE, optimized geometry); size of the total moment = 0.00 Bohr magnetons per cell; crystal system = orthorhombic; formation energy from the elements = -0.403 eV/atom
1.0
6.295 0.006 0.018
-2.523 4.093 -0.017
1.250 0.778 2.393
Cu Pt Ta
1 2 1
Cartesian
1.886 2.049 0.000
0.000 0.000 0.000
3.773 0.392 1.205
-0.637 2.435 1.188

---

Record 17
Ta2CuPt (PBE, optimized geometry); size of the total moment = 0.00 Bohr magnetons per cell; crystal system = orthorhombic; formation energy from the elements = -0.147 eV/atom
1.0
5.498 0.008 0.010
2.664 4.810 -0.010
-3.412 -3.543 2.457
Ta Pt Cu
2 1 1
Cartesian
3.020 -0.601 1.233
0.034 0.020 0.000
1.747 1.885 1.224
4.031 2.379 0.000

---

Record 18
Ta2CuPt (PBE, optimized geometry); size of the total moment = 0.00 Bohr magnetons per cell; crystal system = tetragonal; formation energy from the elements = 0.261 eV/atom
1.0
-5.413 3.719 2.957
2.204 -2.006 6.557
-0.059 2.998 4.893
Ta Pt Cu
4 2 2
Cartesian
-2.868 3.762 11.948
0.648 -0.013 5.712
-3.084 2.797 3.870
-1.232 2.877 7.284
0.000 0.000 0.000
-3.538 3.787 6.304
0.270 0.924 8.104
-1.605 0.857 4.757

---

Record 19
TaCuPt2 (PBE, optimized geometry); size of the total moment = 0.00 Bohr magnetons per cell; crystal system = monoclinic; formation energy from the elements = -0.345 eV/atom
1.0
4.739 0.012 0.005
3.882 2.720 0.005
0.871 0.276 4.792
Cu Pt Ta
1 2 1
Cartesian
2.373 0.752 1.201
4.770 1.512 2.381
8.597 2.724 0.031
7.119 2.256 3.602

---

Record 20
TaCu3Pt (PBE, optimized geometry); size of the total moment = 0.00 Bohr magnetons per cell; polymorph energy (0 for the lowest one) = 0 meV per atom; crystal system = cubic; formation energy from the elements = 1.299 eV/atom
1.0
-0.933 -2.104 3.928
4.246 -1.638 0.131
1.352 3.690 2.298
Ta Cu Pt
1 3 1
Cartesian
2.333 -0.026 3.179
2.123 -0.819 0.066
-0.467 -1.052 1.964
0.676 1.845 1.149
0.000 0.000 0.000